(1)
# PBE+U MnAsIrO2, optimized geometry
data_MnAsIrO2
_cell_length_a 3.5711
_cell_length_b 3.5711
_cell_length_c 7.4425
_cell_angle_alpha 90.00
_cell_angle_beta 90.00
_cell_angle_gamma 90.00
_space_group_name_H-M_alt 'P 4/m m m'
_space_group_IT_number 123
_space_group_name_Hall '-P 4 2'
loop_
_atom_site_label
_atom_site_type_symbol
_atom_site_fract_x
_atom_site_fract_y
_atom_site_fract_z
Mn1 Mn 0.0000 0.0000 0.0000
As1 As 0.0000 0.0000 0.5000
Ir1 Ir 0.5000 0.5000 0.5000
O1 O 0.0000 0.5000 0.0000
# VASP energy: -31.01 eV for the cell shown
# density: 6.19 g/cm3
# density of states at the Fermi level: 3.494 states/eV per cell

(2)
# PBE+U MnAsIrO6, optimized geometry
data_MnAsIrO6
_cell_length_a 5.0720
_cell_length_b 5.0720
_cell_length_c 9.1611
_cell_angle_alpha 90.00
_cell_angle_beta 90.00
_cell_angle_gamma 120.00
_space_group_name_H-M_alt 'P -3 1 c'
_space_group_IT_number 163
_space_group_name_Hall '-P 3 2c'
loop_
_atom_site_label
_atom_site_type_symbol
_atom_site_fract_x
_atom_site_fract_y
_atom_site_fract_z
Mn1 Mn 0.0000 0.0000 0.0000
As1 As 0.3333 0.6667 0.2500
Ir1 Ir 0.3333 0.6667 0.7500
O1 O 0.0142 0.3654 0.1370
# VASP energy: -121.91 eV for the cell shown
# density: 6.80 g/cm3
# density of states at the Fermi level: 4.360 states/eV per cell